The following is a DFT calculation (PBE) of crystalline Th4Co2Ni5 at its relaxed geometry.

density of states at the Fermi level = 9.01 states/eV per cell
electronic total energy = -7.004 eV per atom

CIF file:
```
data_Th4Co2Ni5
_cell_length_a 6.7015
_cell_length_b 3.8554
_cell_length_c 7.8279
_cell_angle_alpha 90.00
_cell_angle_beta 93.76
_cell_angle_gamma 90.00
_symmetry_space_group_name_H-M 'P 1 2/m 1'
_symmetry_Int_Tables_number 10
loop_
_symmetry_equiv_pos_as_xyz
'x,y,z'
'-x,-y,-z'
'-x,y,-z'
'x,-y,z'
loop_
_atom_site_label
_atom_site_type_symbol
_atom_site_fract_x
_atom_site_fract_y
_atom_site_fract_z
Th1 Th 0.2311 0.0000 0.3692
Th2 Th 0.2492 0.0000 0.8930
Co1 Co 0.0754 0.5000 0.1433
Ni1 Ni 0.1664 0.5000 0.6277
Ni2 Ni 0.4600 0.5000 0.1715
Ni3 Ni 0.5000 0.5000 0.5000
```

---

The following is a DFT calculation (PBE) of crystalline Th2CoNi at its relaxed geometry.

density of states at the Fermi level = 6.07 states/eV per cell
offset from the most stable computed form = 0 meV/atom

CIF file:
```
data_Th2CoNi
_cell_length_a 5.8333
_cell_length_b 4.1647
_cell_length_c 7.4596
_cell_angle_alpha 90.00
_cell_angle_beta 109.45
_cell_angle_gamma 90.00
_symmetry_space_group_name_H-M 'P 1 21/m 1'
_symmetry_Int_Tables_number 11
loop_
_symmetry_equiv_pos_as_xyz
'x,y,z'
'-x,-y,-z'
'-x,y+1/2,-z'
'x,-y+1/2,z'
loop_
_atom_site_label
_atom_site_type_symbol
_atom_site_fract_x
_atom_site_fract_y
_atom_site_fract_z
Th1 Th 0.2314 0.2500 0.4292
Th2 Th 0.2325 0.2500 0.9393
Co1 Co 0.3095 0.7500 0.2079
Ni1 Ni 0.3316 0.7500 0.7068
```

---

The following is a DFT calculation (PBE) of crystalline Th3Co2Ni3 at its relaxed geometry.

density of states at the Fermi level = 18.07 states/eV per cell
offset from the most stable computed form = 0 meV/atom

CIF file:
```
data_Th3Co2Ni3
_cell_length_a 3.8634
_cell_length_b 15.4103
_cell_length_c 5.4714
_cell_angle_alpha 90.00
_cell_angle_beta 110.58
_cell_angle_gamma 90.00
_symmetry_space_group_name_H-M 'P 1 21/m 1'
_symmetry_Int_Tables_number 11
loop_
_symmetry_equiv_pos_as_xyz
'x,y,z'
'-x,-y,-z'
'-x,y+1/2,-z'
'x,-y+1/2,z'
loop_
_atom_site_label
_atom_site_type_symbol
_atom_site_fract_x
_atom_site_fract_y
_atom_site_fract_z
Th1 Th 0.0924 0.2500 0.1872
Th2 Th 0.3677 0.0890 0.7365
Co1 Co 0.3253 0.6209 0.6482
Ni1 Ni 0.0809 0.0551 0.1634
Ni2 Ni 0.1832 0.7500 0.3646
```

---

The following is a DFT calculation (PBE) of crystalline Th2CoNi3 at its relaxed geometry.

density of states at the Fermi level = 6.45 states/eV per cell
electronic total energy = -6.911 eV per atom

CIF file:
```
data_Th2CoNi3
_cell_length_a 3.8732
_cell_length_b 4.0523
_cell_length_c 7.0320
_cell_angle_alpha 90.00
_cell_angle_beta 90.00
_cell_angle_gamma 90.00
_symmetry_space_group_name_H-M 'P m m 2'
_symmetry_Int_Tables_number 25
loop_
_symmetry_equiv_pos_as_xyz
'x,y,z'
'-x,-y,z'
'-x,y,z'
'x,-y,z'
loop_
_atom_site_label
_atom_site_type_symbol
_atom_site_fract_x
_atom_site_fract_y
_atom_site_fract_z
Th1 Th 0.0000 0.0000 0.0000
Th2 Th 0.0000 0.5000 0.4933
Co1 Co 0.5000 0.0000 0.3290
Ni1 Ni 0.5000 0.0000 0.6597
Ni2 Ni 0.5000 0.5000 0.1652
Ni3 Ni 0.5000 0.5000 0.8305
```

---

The following is a DFT calculation (PBE) of crystalline Th4Co3Ni at its relaxed geometry.

density of states at the Fermi level = 6.43 states/eV per cell
electronic total energy = -7.464 eV per atom

CIF file:
```
data_Th4Co3Ni
_cell_length_a 3.7158
_cell_length_b 4.1278
_cell_length_c 10.9667
_cell_angle_alpha 90.00
_cell_angle_beta 90.00
_cell_angle_gamma 90.00
_symmetry_space_group_name_H-M 'P m m 2'
_symmetry_Int_Tables_number 25
loop_
_symmetry_equiv_pos_as_xyz
'x,y,z'
'-x,-y,z'
'-x,y,z'
'x,-y,z'
loop_
_atom_site_label
_atom_site_type_symbol
_atom_site_fract_x
_atom_site_fract_y
_atom_site_fract_z
Th1 Th 0.0000 0.0000 0.0000
Th2 Th 0.0000 0.5000 0.2653
Th3 Th 0.5000 0.0000 0.4938
Th4 Th 0.5000 0.5000 0.7646
Co1 Co 0.0000 0.5000 0.5403
Co2 Co 0.5000 0.0000 0.2232
Co3 Co 0.5000 0.5000 0.0338
Ni1 Ni 0.0000 0.0000 0.7158
```

---

The following is a DFT calculation (PBE) of crystalline ThCo2Ni at its relaxed geometry.

density of states at the Fermi level = 3.63 states/eV per cell
electronic total energy = -6.971 eV per atom

CIF file:
```
data_ThCo2Ni
_cell_length_a 3.9515
_cell_length_b 3.9515
_cell_length_c 3.8796
_cell_angle_alpha 90.00
_cell_angle_beta 90.00
_cell_angle_gamma 90.00
_symmetry_space_group_name_H-M 'P 4/m m m'
_symmetry_Int_Tables_number 123
_symmetry_space_group_name_Hall '-P 4 2'
loop_
_atom_site_label
_atom_site_type_symbol
_atom_site_fract_x
_atom_site_fract_y
_atom_site_fract_z
Th1 Th 0.0000 0.0000 0.0000
Co1 Co 0.0000 0.5000 0.5000
Ni1 Ni 0.5000 0.5000 0.0000
```

---

density of states at the Fermi level of number 3 (Th3Co2Ni3)? 18.07 states/eV per cell